Below is a relaxed FeCu4Ru crystal, with properties calculated at the PBE level.

Results
Total magnetic moment, μB per cell: 3.54
Fermi-level density of states, states/eV/atom: 0.89
DFT formation energy, kJ/mol of formula units: 155.7
Energy, eV per atom: -5.4183

Cell lengths 4.734, 4.734, 4.734 Å; angles 60.00, 60.00, 60.00 degrees
Element x y z (fractional)
Fe 0.000 0.000 0.000
Cu 0.375 0.375 0.375
Cu 0.375 0.375 0.875
Cu 0.375 0.875 0.375
Cu 0.875 0.375 0.375
Ru 0.750 0.750 0.750



Below is a relaxed FeCu2Ru crystal, with properties calculated at the PBE level.

Results
Total magnetic moment, μB per cell: 3.42
Fermi-level density of states, states/eV/atom: 0.94
Distance to the lowest polymorph of the same formula, meV/atom: 53.5
DFT formation energy, kJ/mol of formula units: 79.3
Energy, eV per atom: -6.2773

Cell lengths 4.458, 4.458, 4.458 Å; angles 130.28, 130.28, 72.96 degrees
Element x y z (fractional)
Fe 0.000 0.000 0.000
Cu 0.250 0.750 0.500
Cu 0.500 0.500 0.000
Ru 0.750 0.250 0.500



Below is a relaxed FeCuRu2 crystal, with properties calculated at the PBE level.

Results
Total magnetic moment, μB per cell: 2.13
Fermi-level density of states, states/eV/atom: 0.58
DFT formation energy, kJ/mol of formula units: 93.5
Energy, eV per atom: -7.5354

Cell lengths 2.980, 2.980, 5.842 Å; angles 90.00, 90.00, 90.00 degrees
Element x y z (fractional)
Fe 0.000 0.000 0.000
Cu 0.000 0.000 0.500
Ru 0.500 0.500 0.246
Ru 0.500 0.500 0.754



Below is a relaxed FeCuRu3 crystal, with properties calculated at the PBE level.

Results
Total magnetic moment, μB per cell: 1.46
Fermi-level density of states, states/eV/atom: 1.21
Distance to the lowest polymorph of the same formula, meV/atom: 0.0
DFT formation energy, kJ/mol of formula units: 710.1
Energy, eV per atom: -6.6053

Cell lengths 4.371, 4.371, 4.371 Å; angles 90.00, 90.00, 90.00 degrees
Element x y z (fractional)
Fe 0.000 0.000 0.000
Cu 0.500 0.500 0.500
Ru 0.000 0.000 0.500
Ru 0.000 0.500 0.000
Ru 0.500 0.000 0.000



Below is a relaxed FeCu2Ru crystal, with properties calculated at the PBE level.

Results
Total magnetic moment, μB per cell: 2.24
Fermi-level density of states, states/eV/atom: 0.76
Distance to the lowest polymorph of the same formula, meV/atom: 0.0
DFT formation energy, kJ/mol of formula units: 58.6
Energy, eV per atom: -6.3308

Cell lengths 8.564, 8.564, 8.564 Å; angles 17.65, 17.65, 17.65 degrees
Element x y z (fractional)
Fe 0.000 0.000 0.000
Cu 0.498 0.498 0.498
Cu 0.749 0.749 0.749
Ru 0.252 0.252 0.252



Below is a relaxed FeCu2Ru crystal, with properties calculated at the PBE level.

Results
Total magnetic moment, μB per cell: 2.69
Fermi-level density of states, states/eV/atom: 1.00
Distance to the lowest polymorph of the same formula, meV/atom: 78.7
DFT formation energy, kJ/mol of formula units: 89.0
Energy, eV per atom: -6.2521

Cell lengths 8.760, 8.760, 8.760 Å; angles 17.09, 17.09, 17.09 degrees
Element x y z (fractional)
Fe 0.000 0.000 0.000
Cu 0.252 0.252 0.252
Cu 0.748 0.748 0.748
Ru 0.500 0.500 0.500



Below is a relaxed FeCuRu2 crystal, with properties calculated at the PBE level.

Results
Total magnetic moment, μB per cell: 3.36
Fermi-level density of states, states/eV/atom: 1.24
DFT formation energy, kJ/mol of formula units: 125.8
Energy, eV per atom: -7.4516

Cell lengths 2.599, 4.327, 4.759 Å; angles 90.00, 93.94, 90.00 degrees
Element x y z (fractional)
Fe 0.000 0.000 0.000
Cu 0.500 0.000 0.500
Ru 0.237 0.500 0.751
Ru 0.763 0.500 0.249



Below is a relaxed FeCu2Ru crystal, with properties calculated at the PBE level.

Results
Total magnetic moment, μB per cell: 3.89
Fermi-level density of states, states/eV/atom: 1.23
Distance to the lowest polymorph of the same formula, meV/atom: 179.5
DFT formation energy, kJ/mol of formula units: 127.9
Energy, eV per atom: -6.1514

Cell lengths 3.092, 3.092, 5.328 Å; angles 90.00, 90.00, 90.00 degrees
Element x y z (fractional)
Fe 0.000 0.000 0.000
Cu 0.500 0.500 0.240
Cu 0.500 0.500 0.760
Ru 0.000 0.000 0.500



Below is a relaxed FeCuRu2 crystal, with properties calculated at the PBE level.

Results
Total magnetic moment, μB per cell: 3.43
Fermi-level density of states, states/eV/atom: 1.44
DFT formation energy, kJ/mol of formula units: 140.4
Energy, eV per atom: -7.4138

Cell lengths 2.614, 2.614, 8.776 Å; angles 90.00, 90.00, 116.15 degrees
Element x y z (fractional)
Fe 0.000 0.000 0.000
Cu 0.500 0.500 0.239
Ru 0.000 0.000 0.496
Ru 0.500 0.500 0.755



Below is a relaxed FeCuRu crystal, with properties calculated at the PBE level.

Results
Total magnetic moment, μB per cell: 2.02
Fermi-level density of states, states/eV/atom: 0.95
Distance to the lowest polymorph of the same formula, meV/atom: 0.0
DFT formation energy, kJ/mol of formula units: 54.2
Energy, eV per atom: -7.0909

Cell lengths 2.631, 2.631, 6.372 Å; angles 90.00, 90.00, 120.00 degrees
Element x y z (fractional)
Fe 0.000 0.000 0.000
Cu 0.333 0.667 0.672
Ru 0.667 0.333 0.319



Below is a relaxed FeCuRu2 crystal, with properties calculated at the PBE level.

Results
Total magnetic moment, μB per cell: 2.96
Fermi-level density of states, states/eV/atom: 1.29
DFT formation energy, kJ/mol of formula units: 79.9
Energy, eV per atom: -7.5707

Cell lengths 4.621, 4.621, 4.621 Å; angles 132.87, 132.87, 68.85 degrees
Element x y z (fractional)
Fe 0.000 0.000 0.000
Cu 0.250 0.750 0.500
Ru 0.500 0.500 0.000
Ru 0.750 0.250 0.500



Below is a relaxed FeCu2Ru crystal, with properties calculated at the PBE level.

Results
Total magnetic moment, μB per cell: 3.31
Fermi-level density of states, states/eV/atom: 1.06
Distance to the lowest polymorph of the same formula, meV/atom: 44.0
DFT formation energy, kJ/mol of formula units: 75.6
Energy, eV per atom: -6.2868

Cell lengths 3.021, 3.021, 5.536 Å; angles 90.00, 90.00, 90.00 degrees
Element x y z (fractional)
Fe 0.000 0.000 0.000
Cu 0.000 0.000 0.513
Cu 0.500 0.500 0.742
Ru 0.500 0.500 0.235



> What is the Fermi-level density of states in the tenth record?

0.95 states/eV/atom



> The highest DFT formation energy belongs to which entry?

FeCuRu3



> Fermi-level density of states of number 1 (FeCu4Ru)?

0.89 states/eV/atom



Repeat the eleventh record exactly.
Below is a relaxed FeCuRu2 crystal, with properties calculated at the PBE level.

Results
Total magnetic moment, μB per cell: 2.96
Fermi-level density of states, states/eV/atom: 1.29
DFT formation energy, kJ/mol of formula units: 79.9
Energy, eV per atom: -7.5707

Cell lengths 4.621, 4.621, 4.621 Å; angles 132.87, 132.87, 68.85 degrees
Element x y z (fractional)
Fe 0.000 0.000 0.000
Cu 0.250 0.750 0.500
Ru 0.500 0.500 0.000
Ru 0.750 0.250 0.500